# PBE Nd3Ho2Er7, optimized geometry
# ΔE_f ... 89 meV/atom
# E_tot ... -4.53 eV/atom
# N(E_F) ... 17.59 states/eV per cell
# V ... 385.2 Å³/cell
# Crystal system ... monoclinic
data_Nd3Ho2Er7
_symmetry_space_group_name_H-M 'P 1'
_symmetry_Int_Tables_number 1
_symmetry_space_group_name_Hall 'P 1'
_cell_length_a 3.517
_cell_length_b 6.313
_cell_length_c 17.901
_cell_angle_alpha 75.76
_cell_angle_beta 90.00
_cell_angle_gamma 90.00
loop_
_atom_site_label
_atom_site_type_symbol
_atom_site_fract_x
_atom_site_fract_y
_atom_site_fract_z
Nd1 Nd 0.500 0.500 0.000
Nd2 Nd 0.000 0.111 0.341
Nd3 Nd 0.000 0.889 0.659
Ho1 Ho 0.500 0.618 0.326
Ho2 Ho 0.500 0.382 0.674
Er1 Er 0.500 0.247 0.500
Er2 Er 0.500 0.753 0.500
Er3 Er 0.000 0.564 0.166
Er4 Er 0.000 0.000 0.000
Er5 Er 0.000 0.436 0.834
Er6 Er 0.500 0.942 0.834
Er7 Er 0.500 0.058 0.166